## MgTlSb2 (PBE)

Data for an optimized crystal structure of MgTlSb2.

- Uncorrected formation energy: -0.29 eV per formula unit
- Calculated volume: 113 Å³/cell
- Total magnetic moment: 0.000 μB per formula unit
- Total energy: -12.494 eV per cell
- Space group: No. 10
- Calculated density: 6.93 g cm⁻³

Cell lengths 4.159, 3.697, 8.219 Å; angles 63.52, 90.00, 90.00 degrees
Atoms (fractional coordinates):
Mg  0.500  0.750  0.750
Sb  0.000  0.050  0.949
Sb  0.000  0.450  0.551
Tl  0.500  0.250  0.250